Entry one
First-principles (PBE) data for a geometry-optimized Ba6TlZn structure, as listed in the Alexandria database.

Cell lengths 11.860, 11.860, 11.860 Å; angles 150.40, 150.40, 42.35 degrees
Fractional coordinates of all 8 atoms:
1 Ba 0.090 0.590 0.500
2 Ba 0.247 0.247 0.000
3 Ba 0.410 0.910 0.500
4 Ba 0.590 0.090 0.500
5 Ba 0.753 0.753 0.000
6 Ba 0.910 0.410 0.500
7 Tl 0.000 0.000 0.000
8 Zn 0.500 0.500 0.000

Properties
calculated volume = 406.0 Å³ per cell
D(E_F) = 9.46 states/eV/cell

Entry two
First-principles (PBE) data for a geometry-optimized Ba6TlZn structure, as listed in the Alexandria database.

Cell lengths 8.247, 8.247, 8.192 Å; angles 101.21, 101.21, 119.56 degrees
Fractional coordinates of all 8 atoms:
1 Ba 0.061 0.423 0.249
2 Ba 0.244 0.244 0.757
3 Ba 0.423 0.061 0.249
4 Ba 0.577 0.939 0.751
5 Ba 0.756 0.756 0.243
6 Ba 0.939 0.577 0.751
7 Tl 0.500 0.500 0.500
8 Zn 0.000 0.000 0.000

Properties
calculated volume = 446.9 Å³ per cell
D(E_F) = 11.59 states/eV/cell

entry one ends up most stable, edging out the next structure by 9.3 kJ/mol of atoms.

Entry one
First-principles (PBE) data for a geometry-optimized Ba2TlZn structure, as listed in the Alexandria database.

Cell lengths 7.642, 7.642, 7.642 Å; angles 105.55, 105.55, 117.63 degrees
Fractional coordinates of all 8 atoms:
1 Ba 0.101 0.625 0.976
2 Ba 0.375 0.351 0.476
3 Ba 0.649 0.125 0.024
4 Ba 0.875 0.899 0.524
5 Tl 0.250 0.750 0.500
6 Tl 0.500 0.500 0.000
7 Zn 0.000 0.000 0.000
8 Zn 0.750 0.250 0.500

Properties
calculated volume = 338.2 Å³ per cell
D(E_F) = 13.21 states/eV/cell

Entry two
First-principles (PBE) data for a geometry-optimized Ba2TlZn structure, as listed in the Alexandria database.

Cell lengths 5.956, 5.956, 5.956 Å; angles 60.00, 60.00, 60.00 degrees
Fractional coordinates of all 4 atoms:
1 Ba 0.250 0.250 0.250
2 Ba 0.750 0.750 0.750
3 Tl 0.000 0.000 0.000
4 Zn 0.500 0.500 0.500

Properties
calculated volume = 149.4 Å³ per cell
D(E_F) = 3.67 states/eV/cell

entry two ends up most stable, edging out the next structure by 27.9 kJ/mol of atoms.

Entry one
First-principles (PBE) data for a geometry-optimized BaTl2Zn2 structure, as listed in the Alexandria database.

Cell lengths 6.742, 6.742, 6.742 Å; angles 137.58, 137.58, 61.54 degrees
Fractional coordinates of all 5 atoms:
1 Ba 0.000 0.000 0.000
2 Tl 0.250 0.750 0.500
3 Tl 0.750 0.250 0.500
4 Zn 0.391 0.391 0.000
5 Zn 0.609 0.609 0.000

Properties
calculated volume = 137.8 Å³ per cell
D(E_F) = 2.89 states/eV/cell

Entry two
First-principles (PBE) data for a geometry-optimized BaTl2Zn2 structure, as listed in the Alexandria database.

Cell lengths 6.878, 6.878, 6.878 Å; angles 138.83, 138.83, 59.63 degrees
Fractional coordinates of all 5 atoms:
1 Ba 0.000 0.000 0.000
2 Tl 0.371 0.371 0.000
3 Tl 0.629 0.629 0.000
4 Zn 0.250 0.750 0.500
5 Zn 0.750 0.250 0.500

Properties
calculated volume = 139.5 Å³ per cell
D(E_F) = 2.23 states/eV/cell

entry one ends up most stable, edging out the next structure by 3.1 kJ/mol of atoms.

Entry one
First-principles (PBE) data for a geometry-optimized BaTl2Zn2 structure, as listed in the Alexandria database.

Cell lengths 8.900, 8.900, 3.575 Å; angles 90.00, 90.00, 90.00 degrees
Fractional coordinates of all 10 atoms:
1 Ba 0.000 0.000 0.000
2 Ba 0.500 0.500 0.000
3 Tl 0.131 0.369 0.000
4 Tl 0.369 0.869 0.000
5 Tl 0.631 0.131 0.000
6 Tl 0.869 0.631 0.000
7 Zn 0.160 0.660 0.500
8 Zn 0.340 0.160 0.500
9 Zn 0.660 0.840 0.500
10 Zn 0.840 0.340 0.500

Properties
calculated volume = 283.2 Å³ per cell
D(E_F) = 5.69 states/eV/cell

Entry two
First-principles (PBE) data for a geometry-optimized BaTl2Zn2 structure, as listed in the Alexandria database.

Cell lengths 8.403, 8.403, 4.081 Å; angles 90.00, 90.00, 90.00 degrees
Fractional coordinates of all 10 atoms:
1 Ba 0.000 0.000 0.000
2 Ba 0.500 0.500 0.000
3 Tl 0.183 0.317 0.500
4 Tl 0.317 0.817 0.500
5 Tl 0.683 0.183 0.500
6 Tl 0.817 0.683 0.500
7 Zn 0.110 0.610 0.000
8 Zn 0.390 0.110 0.000
9 Zn 0.610 0.890 0.000
10 Zn 0.890 0.390 0.000

Properties
calculated volume = 288.2 Å³ per cell
D(E_F) = 7.87 states/eV/cell

entry two ends up most stable, edging out the next structure by 5.6 kJ/mol of atoms.

Entry one
First-principles (PBE) data for a geometry-optimized Ba8TlZn2 structure, as listed in the Alexandria database.

Cell lengths 9.493, 9.493, 6.459 Å; angles 98.57, 98.57, 111.02 degrees
Fractional coordinates of all 11 atoms:
1 Ba 0.000 0.000 0.000
2 Ba 0.042 0.302 0.607
3 Ba 0.126 0.604 0.190
4 Ba 0.302 0.042 0.607
5 Ba 0.427 0.686 0.775
6 Ba 0.604 0.126 0.190
7 Ba 0.686 0.427 0.775
8 Ba 0.734 0.734 0.382
9 Tl 0.368 0.368 0.171
10 Zn 0.048 0.682 0.692
11 Zn 0.682 0.048 0.692

Properties
calculated volume = 524.1 Å³ per cell
D(E_F) = 13.10 states/eV/cell

Entry two
First-principles (PBE) data for a geometry-optimized Ba8TlZn2 structure, as listed in the Alexandria database.

Cell lengths 10.996, 10.996, 8.414 Å; angles 107.41, 107.41, 31.86 degrees
Fractional coordinates of all 11 atoms:
1 Ba 0.037 0.037 0.297
2 Ba 0.201 0.201 0.821
3 Ba 0.327 0.327 0.528
4 Ba 0.405 0.405 0.049
5 Ba 0.595 0.595 0.951
6 Ba 0.673 0.673 0.472
7 Ba 0.799 0.799 0.179
8 Ba 0.963 0.963 0.703
9 Tl 0.500 0.500 0.500
10 Zn 0.186 0.186 0.207
11 Zn 0.814 0.814 0.793

Properties
calculated volume = 510.3 Å³ per cell
D(E_F) = 15.05 states/eV/cell

entry two ends up most stable, edging out the next structure by 3.8 kJ/mol of atoms.

Entry one
First-principles (PBE) data for a geometry-optimized Ba4TlZn structure, as listed in the Alexandria database.

Cell lengths 7.366, 7.366, 7.366 Å; angles 60.00, 60.00, 60.00 degrees
Fractional coordinates of all 6 atoms:
1 Ba 0.125 0.125 0.125
2 Ba 0.125 0.125 0.626
3 Ba 0.125 0.626 0.125
4 Ba 0.626 0.125 0.125
5 Tl 0.750 0.750 0.750
6 Zn 0.500 0.500 0.500

Properties
calculated volume = 282.6 Å³ per cell
D(E_F) = 8.78 states/eV/cell

Entry two
First-principles (PBE) data for a geometry-optimized Ba4TlZn structure, as listed in the Alexandria database.

Cell lengths 5.900, 5.900, 8.442 Å; angles 90.00, 90.00, 90.00 degrees
Fractional coordinates of all 6 atoms:
1 Ba 0.000 0.500 0.249
2 Ba 0.000 0.500 0.751
3 Ba 0.500 0.000 0.249
4 Ba 0.500 0.000 0.751
5 Tl 0.000 0.000 0.500
6 Zn 0.500 0.500 0.000

Properties
calculated volume = 293.9 Å³ per cell
D(E_F) = 9.74 states/eV/cell

Entry three
First-principles (PBE) data for a geometry-optimized Ba4TlZn structure, as listed in the Alexandria database.

Cell lengths 4.251, 4.251, 15.305 Å; angles 90.00, 90.00, 90.00 degrees
Fractional coordinates of all 6 atoms:
1 Ba 0.000 0.000 0.126
2 Ba 0.000 0.000 0.874
3 Ba 0.500 0.500 0.365
4 Ba 0.500 0.500 0.635
5 Tl 0.000 0.000 0.500
6 Zn 0.500 0.500 0.000

Properties
calculated volume = 276.6 Å³ per cell
D(E_F) = 5.52 states/eV/cell

entry three ends up most stable, edging out the next structure by 10.9 kJ/mol of atoms.